This record from Alexandria via LeMat-Bulk describes an optimized crystal structure of Nd2CdIn. The functional is PBE.

a = 3.8134 Å, b = 3.8134 Å, c = 29.8238 Å
α = 90.00°, β = 90.00°, γ = 120.00°
Space group R-3m (No. 166, hexagonal axes)
Unique sites:
Nd1 0.0000 0.0000 0.2494 x6
Cd1 0.0000 0.0000 0.0000 x3
In1 0.0000 0.0000 0.5000 x3

Computed properties:
The density of states at the Fermi level comes out at 10.95 states/eV per cell. The value obtained for the distance to the lowest polymorph of the same formula is 0.79 eV per formula unit. The total magnetization comes out at 0.00 μB per cell. The calculation puts the calculated formation energy at -216 meV/atom.

This record from Alexandria via LeMat-Bulk describes an optimized crystal structure of Nd3Cd3In2. The functional is PBE.

a = 4.834 Å, b = 11.553 Å, c = 16.003 Å
α = 90.00°, β = 90.00°, γ = 90.00°
Space group Cmcm (No. 63)
Unique sites:
Nd1 0.000 0.087 0.109 x8
Nd2 0.000 0.358 0.250 x4
Cd1 0.000 0.362 0.750 x4
Cd2 0.000 0.385 0.035 x8
In1 0.000 0.205 0.607 x8

Computed properties:
The density of states at the Fermi level comes out at 24.52 states/eV per cell. The total magnetization comes out at 0.00 μB per cell. The calculation puts the calculated formation energy at -371 meV/atom.